A geometry-optimized HgSbBr structure, computed with PBE-GGA.

Values from the calculation:
energy: -5.82 eV/f.u.
space-group type: No. 156
energy above the lowest structure with this stoichiometry: 0.284 eV/atom
calculated volume: 85 Å³/cell
energy relative to the elements, uncorrected: 0.0922 eV per atom

Cell: 5.323 5.323 3.455 Å, 90.00 90.00 120.00°
Fractional positions:
Sb1 0.333 0.667 0.706
Hg1 0.667 0.333 0.443
Br1 0.000 0.000 0.851

A geometry-optimized GeBiRuPb2 structure, computed with PBE-GGA.

Values from the calculation:
energy: -24.14 eV/f.u.
calculated formation energy: 1.052 eV per formula unit
space-group type: No. 123
energy above the lowest structure with this stoichiometry: 0.000 eV/atom
calculated volume: 138 Å³/cell

Cell: 5.395 4.740 5.395 Å, 90.00 90.00 90.00°
Fractional positions:
Pb1 0.000 0.000 0.500
Pb2 0.500 0.000 0.000
Ru1 0.000 0.000 0.000
Ge1 0.000 0.500 0.000
Bi1 0.500 0.500 0.500

A geometry-optimized CeB2Ru2 structure, computed with PBE-GGA.

Values from the calculation:
energy: -40.52 eV/f.u.
calculated formation energy: -2.679 eV per formula unit
space-group type: No. 70
calculated volume: 147 Å³/cell

Cell: 5.557 5.557 5.986 Å, 108.99 108.99 107.40°
Fractional positions:
Ru1 0.612 0.112 0.224
Ru2 0.888 0.388 0.776
Ru3 0.362 0.362 0.724
Ru4 0.638 0.638 0.276
B1 0.934 0.066 0.500
B2 0.566 0.434 0.500
B3 0.684 0.316 0.000
B4 0.316 0.684 0.000
Ce1 0.250 0.750 0.500
Ce2 0.000 0.000 0.000